(1)
Compound: Na2Pb5Cl12
Source: the Alexandria database
Functional: PBE
Structure: relaxed

Unit cell a=7.6529 b=8.9810 c=9.4716 alpha=105.53 beta=90.00 gamma=115.22
Closest atoms and distances in Å follow each position.
Atoms (fractional coordinates):
Na 0.7635 0.0000 0.0000  6 Cl 2.69-2.84
Na 0.2365 0.0000 0.0000  6 Cl 2.69-2.84
Pb 0.3108 0.6216 0.6537  7 Cl 2.91-3.15
Pb 0.3190 0.6380 0.1595  7 Cl 2.88-3.12
Pb 0.0000 0.0000 0.5000  6 Cl 2.78-3.03
Pb 0.6810 0.3620 0.8405  7 Cl 2.88-3.12
Pb 0.6892 0.3784 0.3463  7 Cl 2.91-3.15
Cl 0.9824 0.9648 0.1990  2 Na 2.69, 1 Pb 2.78
Cl 0.0912 0.6457 0.9025  1 Na 2.76, 3 Pb 2.91-3.03
Cl 0.5545 0.6457 0.9025  1 Na 2.76, 3 Pb 2.91-3.03
Cl 0.1023 0.6991 0.4325  4 Pb 3.02-3.15
Cl 0.5967 0.6991 0.4325  4 Pb 3.02-3.15
Cl 0.4970 0.9939 0.7870  2 Na 2.84, 2 Pb 2.88-2.91
Cl 0.5030 0.0061 0.2130  2 Na 2.84, 2 Pb 2.88-2.91
Cl 0.8977 0.3009 0.5675  4 Pb 3.02-3.15
Cl 0.4033 0.3009 0.5675  4 Pb 3.02-3.15
Cl 0.9088 0.3543 0.0975  1 Na 2.76, 3 Pb 2.91-3.03
Cl 0.4455 0.3543 0.0975  1 Na 2.76, 3 Pb 2.91-3.03
Cl 0.0176 0.0352 0.8010  2 Na 2.69, 1 Pb 2.78

=====

(2)
Compound: La2InTc
Source: the Alexandria database
Functional: PBE
Structure: relaxed

Unit cell a=3.5085 b=3.5085 c=8.8691 alpha=90.00 beta=90.00 gamma=96.07
Closest atoms and distances in Å follow each position.
Atoms (fractional coordinates):
In 0.5000 0.5000 0.7500  4 In 3.51, 8 La 3.54-3.72
La 0.0000 0.0000 0.0483  4 Tc 2.95-3.16
La 0.0000 0.0000 0.4517  4 Tc 2.95-3.16
Tc 0.5000 0.5000 0.2500  8 La 2.95-3.16

Computed properties:
**ΔE_f**: -9.3 kJ per mole of atoms

=====

(3)
Compound: MgCr2Br
Source: the Alexandria database
Functional: PBE
Structure: relaxed

Unit cell a=4.9128 b=4.9128 c=4.9128 alpha=60.00 beta=60.00 gamma=60.00
Closest atoms and distances in Å follow each position.
Atoms (fractional coordinates):
Cr 0.2500 0.2500 0.2500  4 Br 3.01, 4 Mg 3.01
Cr 0.7500 0.7500 0.7500  4 Br 3.01, 4 Mg 3.01
Mg 0.0000 0.0000 0.0000  8 Cr 3.01
Br 0.5000 0.5000 0.5000  8 Cr 3.01

=====

(4)
Compound: Nd4I5N2
Source: the Alexandria database
Functional: PBE
Structure: relaxed

Unit cell a=3.9536 b=7.9364 c=13.4431 alpha=113.55 beta=98.46 gamma=90.00
Closest atoms and distances in Å follow each position.
Atoms (fractional coordinates):
Nd 0.3993 0.1543 0.7985  2 N 2.46
Nd 0.9556 0.6105 0.9111  2 N 2.28-2.32
Nd 0.6007 0.8457 0.2015  2 N 2.46
Nd 0.0444 0.3895 0.0889  2 N 2.28-2.32
I 0.8208 0.2681 0.6415  3 Nd 3.26-3.52, 1 N 3.37
I 0.1792 0.7319 0.3585  3 Nd 3.26-3.52, 1 N 3.37
I 0.8554 0.7972 0.7108  3 Nd 3.26-3.53
I 0.5000 0.0000 0.0000  6 Nd 3.37-3.45
I 0.1446 0.2028 0.2892  3 Nd 3.26-3.53
N 0.9523 0.3139 0.9046  4 Nd 2.28-2.46
N 0.0477 0.6861 0.0954  4 Nd 2.28-2.46

=====

(5)
Compound: AgHRh2Au
Source: the Alexandria database
Functional: PBE
Structure: relaxed

Unit cell a=3.9586 b=3.9586 c=4.2453 alpha=90.00 beta=90.00 gamma=90.00
Closest atoms and distances in Å follow each position.
Atoms (fractional coordinates):
Rh 0.0000 0.5000 0.0000  2 H 1.98
Rh 0.5000 0.0000 0.0000  2 H 1.98
Au 0.5000 0.5000 0.5000  4 Ag 2.80, 8 Rh 2.90
Ag 0.0000 0.0000 0.5000  2 H 2.12
H 0.0000 0.0000 0.0000  4 Rh 1.98, 2 Ag 2.12

=====

(6)
Compound: Pr6PtRh2I3
Source: the Alexandria database
Functional: PBE
Structure: relaxed

Unit cell a=7.3481 b=7.3481 c=8.5474 alpha=98.24 beta=98.24 gamma=119.98
Closest atoms and distances in Å follow each position.
Atoms (fractional coordinates):
Pr 0.9379 0.5986 0.8136  2 Rh 2.87, 1 Pt 2.92
Pr 0.7227 0.7227 0.1861  2 Rh 2.87, 1 Pt 2.92
Pr 0.0621 0.4014 0.1864  2 Rh 2.87, 1 Pt 2.92
Pr 0.5986 0.9379 0.8136  2 Rh 2.87, 1 Pt 2.92
Pr 0.2773 0.2773 0.8139  2 Rh 2.87, 1 Pt 2.92
Pr 0.4014 0.0621 0.1864  2 Rh 2.87, 1 Pt 2.92
Pt 0.0000 0.0000 0.0000  6 Pr 2.92
Rh 0.3334 0.6666 0.0000  6 Pr 2.87
Rh 0.6666 0.3334 0.0000  6 Pr 2.87
I 0.1667 0.8333 0.5000  6 Pr 3.52-3.57
I 0.8333 0.1667 0.5000  6 Pr 3.52-3.57
I 0.5000 0.5000 0.5000  6 Pr 3.52-3.56

=====

(7)
Compound: LiFeNi
Source: the Alexandria database
Functional: PBE
Structure: relaxed

Unit cell a=6.0379 b=6.0379 c=6.0379 alpha=156.04 beta=156.04 gamma=34.14
Closest atoms and distances in Å follow each position.
Atoms (fractional coordinates):
Fe 0.0121 0.0121 0.0000  4 Ni 2.47, 4 Fe 2.51
Li 0.3269 0.3269 0.0000  4 Li 2.51, 4 Ni 2.61, 4 Fe 2.78
Ni 0.6610 0.6610 0.0000  4 Fe 2.47, 4 Ni 2.51, 4 Li 2.61

Computed properties:
**ΔE_f**: 12.9 kJ per mole of atoms

=====

(8)
Compound: PuZrTaOs
Source: the Alexandria database
Functional: PBE
Structure: relaxed

Unit cell a=4.7305 b=4.7305 c=4.7305 alpha=60.00 beta=60.00 gamma=60.00
Closest atoms and distances in Å follow each position.
Atoms (fractional coordinates):
Ta 0.0000 0.0000 0.0000  4 Pu 2.90, 4 Os 2.90
Os 0.2500 0.2500 0.2500  4 Ta 2.90, 4 Zr 2.90
Zr 0.5000 0.5000 0.5000  4 Os 2.90, 4 Pu 2.90
Pu 0.7500 0.7500 0.7500  4 Zr 2.90, 4 Ta 2.90

Computed properties:
**ΔE_f**: 7.8 kJ per mole of atoms

=====

Calculated N(E_F) in order - 0.00 4.81 1.21 0.78 5.51 6.12 3.58 10.68 states/eV/f.u.
Calculated E_tot in order - -3.55 -5.84 -4.84 -5.27 -4.66 -5.50 -5.25 -11.41 eV per atom